[1]
DFT (PBE) results for a relaxed Al2ZnCu6 crystal.

extended XYZ file:
```
9
Lattice="-2.4537 -0.9598 0.1245 0.4832 -0.3272 7.0007 -2.1507 6.2958 -3.0820" Properties=species:S:1:pos:R:3 pbc="T T T"
Al -1.6293 1.6394 3.7138
Al -2.4918 3.3694 0.3295
Zn 0.0000 0.0000 0.0000
Cu -2.9652 0.9776 1.5491
Cu -1.4611 4.2379 -1.9270
Cu -1.1559 4.0312 2.4942
Cu -1.0715 -0.5851 2.3131
Cu -2.6600 0.7709 5.9703
Cu -0.8990 -0.7019 4.8121
```

Results
The calculation puts the total energy at -3.77 eV per atom. The value obtained for the formation energy from the elements is -0.06 eV/atom. As for the excess energy over the best structure of this formula in the dataset: 0.069 eV per atom. The density of states at the Fermi level is 0.25 states/eV per atom.

[2]
DFT (PBE) results for a relaxed ScBiSb3 crystal.

extended XYZ file:
```
5
Lattice="-1.3584 4.3911 2.9832 -5.0504 -0.1203 -2.1227 -1.6355 -3.2757 4.0769" Properties=species:S:1:pos:R:3 pbc="T T T"
Sc 0.0000 0.0000 0.0000
Sb -2.5252 -0.0601 -1.0613
Sb -0.8177 -1.6379 2.0385
Sb -0.6792 2.1955 1.4916
Bi -4.0221 0.4975 2.4687
```

Results
The calculation puts the total energy at -4.28 eV per atom. Its formation energy (no corrections) is 0.23 eV per atom. As for the excess energy over the best structure of this formula in the dataset: 0.000 eV per atom. The density of states at the Fermi level is 0.92 states/eV per atom.